# Te3CCl (meta-GGA SCAN, PBEsol geometry)
# - VASP energy: -24.971 eV/atom
# - DOS at the Fermi energy: 0.616 states/eV/atom
# - Spin magnetization: 0.000 μB/cell
# - Formation energy without anion corrections: 1.00 eV/atom
data_Te3CCl
_chemical_formula_sum 'Te3 C1 Cl1'
_symmetry_space_group_name_H-M 'P m -3 m'
_symmetry_Int_Tables_number 221
_symmetry_space_group_name_Hall '-P 4 2 3'
_cell_length_a 4.787
_cell_length_b 4.787
_cell_length_c 4.787
_cell_angle_alpha 90.00
_cell_angle_beta 90.00
_cell_angle_gamma 90.00
loop_
_atom_site_label
_atom_site_fract_x
_atom_site_fract_y
_atom_site_fract_z
_atom_site_occupancy
Te1 0.000 0.000 0.500 1
C1 0.000 0.000 0.000 1
Cl1 0.500 0.500 0.500 1